BaMoBr2F PBE+U optimized geometry; N(E_F) = 0.000 states/eV/atom; symmetry = P4/mmm (123); uncorrected energy = -20.5 eV for the cell shown
1.0
6.364 0.000 0.000
0.000 6.364 0.000
0.000 0.000 4.884
Ba Mo Br F
1 1 2 1
Direct
0.000 0.000 0.000 Ba
0.500 0.500 0.500 Mo
0.000 0.500 0.000 Br
0.500 0.000 0.000 Br
0.000 0.000 0.500 F